Record 1
8
Lattice="-4.396 -6.984 -1.755 1.231 1.330 -8.377 5.974 -0.209 6.148" Properties=species:S:1:pos:R:3 comment="Rb2NdBr5, relaxed, DFT GGA-PBE" e_form_raw_kcal_per_mol_atoms=-40.66 space_group=Cm e_above_lowest_polymorph_mev_per_atom=97.6 pbc="T T T"
Rb 2.389 -0.490 -4.039
Rb -0.353 -4.821 -0.212
Nd 2.583 -5.710 -4.029
Br -2.370 -5.535 -2.934
Br -0.068 -1.879 -2.015
Br 3.421 -4.620 -1.486
Br 5.870 -0.728 -0.509
Br 0.609 -4.180 -5.176


Record 2
14
Lattice="6.489 0.000 0.000 0.000 6.494 0.000 -3.245 0.000 8.083" Properties=species:S:1:pos:R:3 comment="Ho4AlInO, relaxed, DFT GGA-PBE" e_form_raw_kcal_per_mol_atoms=-24.22 space_group=Cmcm pbc="T T T"
Ho 3.245 1.624 6.877
Ho 0.000 4.871 6.739
Ho 0.000 4.871 1.206
Ho 3.245 1.624 1.345
Ho 1.622 3.247 4.042
Ho -1.622 0.000 4.042
Ho 1.622 0.000 4.042
Ho -1.622 3.247 4.042
Al 0.000 1.624 1.872
Al 3.245 4.871 6.211
In 3.245 4.871 1.784
In 0.000 1.624 6.299
O 0.000 4.871 4.167
O 3.245 1.624 3.917


Record 3
4
Lattice="-3.123 -1.194 0.537 -0.635 -3.306 -0.367 1.095 -3.078 10.212" Properties=species:S:1:pos:R:3 comment="Tm2AlZn, relaxed, DFT GGA-PBE" space_group=R-3m e_above_lowest_polymorph_mev_per_atom=537.4 e_form_mev_per_atom=154 pbc="T T T"
Zn 0.000 0.000 0.000
Tm 0.425 -2.628 7.316
Tm -3.089 -4.950 3.066
Al -1.332 -3.789 5.191


Record 4
3
Lattice="4.789 0.000 0.000 2.394 4.147 0.000 2.394 1.382 3.910" Properties=species:S:1:pos:R:3 comment="ScCrPb, relaxed, DFT GGA-PBE" space_group=F-43m e_above_lowest_polymorph_mev_per_atom=366.3 e_form_mev_per_atom=512 pbc="T T T"
Cr 0.000 0.000 0.000
Pb 4.789 2.765 1.955
Sc 7.183 4.147 2.932


Record 5
6
Lattice="-1.618 3.363 -8.466 0.151 -3.588 -2.630 -4.674 -0.658 0.632" Properties=species:S:1:pos:R:3 comment="BaNiW, relaxed, DFT GGA-PBE" space_group=P2_1/m e_above_lowest_polymorph_mev_per_atom=173.7 e_form_mev_per_atom=494 pbc="T T T"
Ni -1.702 -0.206 -8.432
Ni -4.039 -0.537 -8.115
Ba -4.083 -2.564 -1.587
Ba -2.375 -1.878 -6.184
W -3.032 1.679 -7.315
W -5.201 0.838 -6.288


Record 6
10
Lattice="6.262 0.000 0.000 0.000 6.262 0.000 0.000 0.000 3.112" Properties=species:S:1:pos:R:3 comment="Sc2H2Ru, relaxed, DFT GGA-PBE" space_group=P4/mbm e_above_lowest_polymorph_mev_per_atom=361.6 pbc="T T T"
Sc 1.188 4.319 1.556
Sc 4.319 5.074 1.556
Sc 5.074 1.943 1.556
Sc 1.943 1.188 1.556
Ru 0.000 0.000 0.000
Ru 3.131 3.131 0.000
H 2.292 5.423 0.000
H 5.423 3.971 0.000
H 3.971 0.839 0.000
H 0.839 2.292 0.000


Record 7
20
Lattice="-4.151 5.732 -6.942 1.966 -6.680 -5.955 -7.740 -0.602 4.867" Properties=species:S:1:pos:R:3 comment="AcPm6Pr2Nd, relaxed, DFT GGA-PBE" space_group=C2/c e_form_mev_per_atom=118 pbc="T T T"
Ac 0.700 -5.104 -7.435
Ac -10.624 3.554 -0.595
Pm -5.744 -0.977 2.480
Pm -8.098 0.314 -0.356
Pm -4.180 -0.573 -10.510
Pm -1.826 -1.864 -7.674
Pm -2.757 -4.984 -5.880
Pm 0.159 -2.721 -4.535
Pm -7.168 3.434 -2.150
Pm -10.084 1.171 -3.495
Pm -2.959 -4.359 -2.599
Pm -2.864 -1.326 -4.218
Pm -6.965 2.809 -5.431
Pm -7.060 -0.224 -3.812
Pr -5.649 -3.204 -4.614
Pr -1.060 -1.927 -1.215
Pr -4.275 1.653 -3.416
Pr -8.865 0.377 -6.815
Nd -4.815 -1.650 -1.286
Nd -5.109 0.100 -6.744


Record 8
4
Lattice="-4.259 1.470 -2.242 -4.349 -1.575 1.983 4.239 2.361 1.334" Properties=species:S:1:pos:R:3 comment="ZnCr2Hg, relaxed, DFT GGA-PBE" space_group=Immm e_above_lowest_polymorph_mev_per_atom=304.1 e_form_mev_per_atom=554 pbc="T T T"
Cr -0.036 0.000 -0.001
Cr -4.268 -0.052 -0.128
Hg -2.162 1.889 -0.519
Zn -2.207 0.366 1.594